Model A:
A geometry-optimized Ca2TlF2 structure. Source: Alexandria via LeMat-Bulk, functional PBE.

The density of states at the Fermi level is 0.57 states/eV per atom. The value obtained for the volume is 21.26 Å³ per atom.

The structure belongs to space group I4/mmm (No. 139); the cell edges are 3.827, 3.827 and 14.518 Å and the angles 90.00°, 90.00° and 90.00°. The inequivalent atoms are Ca at (0.000, 0.000, 0.157), Tl at (0.000, 0.000, 0.500) and F at (0.000, 0.500, 0.250).


Model B:
A geometry-optimized Ca2TlF2 structure. Source: Alexandria via LeMat-Bulk, functional PBE.

The density of states at the Fermi level is 0.26 states/eV per atom. The value obtained for the volume is 22.35 Å³ per atom.

The structure belongs to space group P4/mbm (No. 127); the cell edges are 8.376, 8.376 and 3.186 Å and the angles 90.00°, 90.00° and 90.00°. The inequivalent atoms are Ca at (0.129, 0.371, 0.000), Tl at (0.000, 0.000, 0.000) and F at (0.097, 0.597, 0.500).


model A wins, 56.3 kJ/mol of atoms ahead of the next structure.


Model A:
A geometry-optimized Ca2UF8 structure. Source: Alexandria via LeMat-Bulk, functional PBE.

The density of states at the Fermi level is 0.29 states/eV per atom. The value obtained for the volume is 13.36 Å³ per atom.

The structure belongs to space group C2/m (No. 12); the cell edges are 14.061, 3.995 and 5.500 Å and the angles 90.00°, 107.96° and 90.00°. The inequivalent atoms are Ca at (0.191, 0.000, 0.193), U at (0.000, 0.500, 0.500), F at (0.037, 0.000, 0.316), F at (0.087, 0.500, 0.903), F at (0.158, 0.500, 0.451) and F at (0.217, 0.000, 0.813).


Model B:
A geometry-optimized Ca2UF8 structure. Source: Alexandria via LeMat-Bulk, functional PBE.

The density of states at the Fermi level is 0.81 states/eV per atom. The value obtained for the volume is 12.18 Å³ per atom.

The structure belongs to space group Immm (No. 71); the cell edges are 3.778, 6.171 and 11.497 Å and the angles 90.00°, 90.00° and 90.00°. The inequivalent atoms are Ca at (0.000, 0.000, 0.172), U at (0.000, 0.000, 0.500), F at (0.000, 0.200, 0.000), F at (0.000, 0.264, 0.343) and F at (0.000, 0.500, 0.130).


model A wins, 7.8 kJ/mol of atoms ahead of the next structure.